No. 1
{
  "formula": "Mo2Os2S",
  "functional": "GGA-PBEsol",
  "state": "relaxed",
  "cell": [[-0.912, 0.570, 3.358], [-2.483, -2.491, -0.251], [6.061, -3.586, 0.403]],
  "species": ["Os", "Mo", "S", "Mo", "Os"],
  "fractional_positions": [[0.250, 0.750, 0.500], [0.396, 0.396, 0.791], [0.000, 0.000, 0.000], [0.604, 0.604, 0.209], [0.750, 0.250, 0.500]],
  "raw_formation_energy_ev_per_atom": 0.5763,
  "sg": "I4/mmm (139)",
  "dos_ef_per_ev_cell": 4.20
}

---

No. 2
{
  "formula": "BaBHAu2",
  "functional": "GGA-PBEsol",
  "state": "relaxed",
  "cell": [[3.962, 0.000, 0.000], [0.000, 3.962, 0.000], [0.000, 0.000, 5.730]],
  "species": ["Ba", "B", "H", "Au", "Au"],
  "fractional_positions": [[0.000, 0.000, 0.500], [0.500, 0.500, 0.500], [0.000, 0.000, 0.000], [0.000, 0.500, 0.000], [0.500, 0.000, 0.000]],
  "sg": "P4/mmm (123)",
  "dft_energy_ev_per_atom": -3.4459,
  "dos_ef_per_ev_cell": 2.04
}

---

No. 3
{
  "formula": "FeCoSb2",
  "functional": "GGA-PBEsol",
  "state": "relaxed",
  "cell": [[3.183, 0.000, 0.000], [1.591, 2.757, 0.000], [1.591, 0.919, 7.466]],
  "species": ["Sb", "Fe", "Sb", "Co"],
  "fractional_positions": [[0.249, 0.249, 0.253], [0.000, 0.000, 0.000], [0.751, 0.751, 0.747], [0.500, 0.500, 0.500]],
  "raw_formation_energy_ev_per_atom": 0.2632,
  "sg": "R-3m (166)",
  "dos_ef_per_ev_cell": 4.94
}

---

No. 4
{
  "formula": "BaTl3F",
  "functional": "GGA-PBEsol",
  "state": "relaxed",
  "cell": [[-1.524, 4.140, 2.845], [-4.846, -0.429, -1.972], [-1.322, -3.199, 3.947]],
  "species": ["Tl", "Ba", "Tl", "F", "Tl"],
  "fractional_positions": [[0.000, 0.000, 0.500], [0.500, 0.500, 0.500], [0.500, 0.000, 0.000], [0.000, 0.000, 0.000], [0.000, 0.500, 0.000]],
  "raw_formation_energy_ev_per_atom": -0.7455,
  "sg": "Pm-3m (221)",
  "dos_ef_per_ev_cell": 3.70
}

---

No. 5
{
  "formula": "Tl2RhPb",
  "functional": "GGA-PBEsol",
  "state": "relaxed",
  "cell": [[-0.693, 1.617, -2.757], [2.042, -1.947, -1.654], [-6.520, -5.494, -1.583]],
  "species": ["Rh", "Tl", "Tl", "Pb"],
  "fractional_positions": [[0.500, 0.500, 0.248], [0.500, 0.500, 0.758], [0.000, 0.000, 0.051], [0.000, 0.000, 0.443]],
  "sg": "P4mm (99)",
  "dos_ef_per_ev_cell": 2.11,
  "formation_energy_ev_per_atom": 0.047
}

---

No. 6
{
  "formula": "ZrSnTe2",
  "functional": "GGA-PBEsol",
  "state": "relaxed",
  "cell": [[3.953, 0.000, 0.000], [1.977, 3.424, 0.000], [1.977, 1.141, 9.305]],
  "species": ["Zr", "Te", "Te", "Sn"],
  "fractional_positions": [[0.000, 0.000, 0.000], [0.098, 0.098, 0.706], [0.902, 0.902, 0.294], [0.500, 0.500, 0.500]],
  "raw_formation_energy_ev_per_atom": 0.2142,
  "sg": "R-3m (166)",
  "dos_ef_per_ev_cell": 3.11
}

---

No. 7
{
  "formula": "Ti3SnH",
  "functional": "GGA-PBEsol",
  "state": "relaxed",
  "cell": [[-2.873, 1.476, 2.553], [2.550, -0.546, 3.186], [1.481, 3.804, -0.533]],
  "species": ["H", "Sn", "Ti", "Ti", "Ti"],
  "fractional_positions": [[0.500, 0.500, 0.500], [0.000, 0.000, 0.000], [0.500, 0.500, 0.000], [0.500, 0.000, 0.500], [0.000, 0.500, 0.500]],
  "sg": "Pm-3m (221)",
  "dft_energy_ev_per_atom": -6.9615,
  "dos_ef_per_ev_cell": 6.16
}

---

No. 8
{
  "formula": "BeHg2O",
  "functional": "GGA-PBEsol",
  "state": "relaxed",
  "cell": [[-4.177, 1.292, 0.251], [-2.627, -1.670, 3.080], [-1.321, 2.502, 3.343]],
  "species": ["Be", "O", "Hg", "Hg"],
  "fractional_positions": [[0.000, 0.000, 0.000], [0.500, 0.500, 0.500], [0.750, 0.750, 0.750], [0.250, 0.250, 0.250]],
  "raw_formation_energy_ev_per_atom": 0.4970,
  "sg": "Fm-3m (225)",
  "dos_ef_per_ev_cell": 3.32
}

---

No. 9
{
  "formula": "La5Mn",
  "functional": "GGA-PBEsol",
  "state": "relaxed",
  "cell": [[5.811, 0.000, 0.000], [0.000, 6.270, 0.000], [0.000, -3.135, 5.430]],
  "species": ["La", "La", "La", "La", "Mn", "La"],
  "fractional_positions": [[0.500, 0.500, 0.000], [0.000, 0.333, 0.667], [0.500, 0.500, 0.500], [0.000, 0.667, 0.333], [0.000, 0.000, 0.000], [0.500, 0.000, 0.500]],
  "sg": "P6/mmm (191)",
  "dos_ef_per_ev_cell": 10.44,
  "formation_energy_ev_per_atom": 0.716
}

---

No. 10
{
  "formula": "Ba2ScNi",
  "functional": "GGA-PBEsol",
  "state": "relaxed",
  "cell": [[4.685, 0.000, 0.000], [-2.342, 5.589, -0.821], [0.000, 2.541, 3.936]],
  "species": ["Ba", "Ba", "Ni", "Sc"],
  "fractional_positions": [[0.750, 0.500, 0.750], [0.250, 0.500, 0.250], [0.500, 0.000, 0.500], [0.000, 0.000, 0.000]],
  "sg": "I4/mmm (139)",
  "dos_ef_per_ev_cell": 6.11,
  "formation_energy_ev_per_atom": 0.588
}

---

No. 11
{
  "formula": "LiBeFe2",
  "functional": "GGA-PBEsol",
  "state": "relaxed",
  "cell": [[2.745, 0.000, 0.000], [0.000, 3.870, 0.000], [-1.373, -1.935, 3.774]],
  "species": ["Be", "Fe", "Fe", "Li"],
  "fractional_positions": [[0.251, 0.751, 0.503], [0.746, 0.246, 0.491], [0.993, 0.993, 0.985], [0.510, 0.510, 0.021]],
  "sg": "Imm2 (44)",
  "dos_ef_per_ev_cell": 2.87,
  "formation_energy_ev_per_atom": 0.217
}

---

No. 12
{
  "formula": "Ba2MgCl",
  "functional": "GGA-PBEsol",
  "state": "relaxed",
  "cell": [[4.203, 0.000, 0.000], [0.000, 6.228, 0.000], [0.000, 0.000, 6.228]],
  "species": ["Mg", "Ba", "Ba", "Cl"],
  "fractional_positions": [[0.749, 0.000, 0.500], [0.247, 0.000, 0.000], [0.252, 0.500, 0.500], [0.251, 0.500, 0.000]],
  "raw_formation_energy_ev_per_atom": -0.8274,
  "sg": "Pmm2 (25)",
  "dos_ef_per_ev_cell": 4.29
}

---

No. 13
{
  "formula": "ZrIn2W",
  "functional": "GGA-PBEsol",
  "state": "relaxed",
  "cell": [[4.798, 0.000, 0.000], [2.399, 4.155, 0.000], [2.399, 1.385, 3.917]],
  "species": ["Zr", "In", "W", "In"],
  "fractional_positions": [[0.750, 0.750, 0.750], [0.000, 0.000, 0.000], [0.500, 0.500, 0.500], [0.250, 0.250, 0.250]],
  "sg": "F-43m (216)",
  "dos_ef_per_ev_cell": 2.62,
  "formation_energy_ev_per_atom": 0.424
}

---

No. 14
{
  "formula": "ZrSiAu2",
  "functional": "GGA-PBEsol",
  "state": "relaxed",
  "cell": [[-2.781, 1.042, 0.756], [-1.596, -2.076, -3.010], [0.673, -4.903, 3.024]],
  "species": ["Au", "Zr", "Au", "Si"],
  "fractional_positions": [[0.309, 0.500, 0.617], [0.572, 0.500, 0.144], [0.933, 0.000, 0.866], [0.176, 0.000, 0.352]],
  "raw_formation_energy_ev_per_atom": -0.5024,
  "sg": "Amm2 (38)",
  "dos_ef_per_ev_cell": 1.10
}

---

No. 15
{
  "formula": "YIn2Os",
  "functional": "GGA-PBEsol",
  "state": "relaxed",
  "cell": [[4.426, 0.000, 0.000], [0.000, 4.427, 0.000], [-2.213, -2.213, 4.095]],
  "species": ["In", "In", "Os", "Y"],
  "fractional_positions": [[0.750, 0.250, 0.500], [0.000, 0.000, 0.000], [0.500, 0.500, 0.000], [0.250, 0.750, 0.500]],
  "sg": "I-4m2 (119)",
  "dos_ef_per_ev_cell": 2.89,
  "formation_energy_ev_per_atom": 0.043
}

---

No. 16
{
  "formula": "Zr2TlH2",
  "functional": "GGA-PBEsol",
  "state": "relaxed",
  "cell": [[3.788, 0.000, 0.000], [0.000, 3.788, 0.000], [-1.894, -1.894, 4.808]],
  "species": ["Tl", "Zr", "H", "H", "Zr"],
  "fractional_positions": [[0.000, 0.000, 0.000], [0.664, 0.664, 0.329], [0.750, 0.250, 0.500], [0.250, 0.750, 0.500], [0.336, 0.336, 0.671]],
  "sg": "I4/mmm (139)",
  "dft_energy_ev_per_atom": -5.9179,
  "dos_ef_per_ev_cell": 3.16
}

---

No. 17
{
  "formula": "RbGa2Ru",
  "functional": "GGA-PBEsol",
  "state": "relaxed",
  "cell": [[4.802, 0.000, 0.000], [2.401, 4.159, 0.000], [2.401, 1.386, 3.921]],
  "species": ["Rb", "Ru", "Ga", "Ga"],
  "fractional_positions": [[0.000, 0.000, 0.000], [0.500, 0.500, 0.500], [0.750, 0.750, 0.750], [0.250, 0.250, 0.250]],
  "sg": "Fm-3m (225)",
  "dos_ef_per_ev_cell": 4.27,
  "formation_energy_ev_per_atom": 0.788
}

---

No. 18
{
  "formula": "Mg6Si7Ni16",
  "functional": "GGA-PBEsol",
  "state": "relaxed",
  "cell": [[-7.787, 1.287, -0.319], [-4.217, -2.783, -6.072], [-5.040, -5.981, 1.104]],
  "species": ["Ni", "Si", "Ni", "Si", "Mg", "Mg", "Si", "Ni", "Mg", "Ni", "Si", "Ni", "Ni", "Ni", "Ni", "Si", "Ni", "Ni", "Mg", "Ni", "Mg", "Ni", "Mg", "Si", "Si", "Ni", "Ni", "Ni", "Ni"],
  "fractional_positions": [[0.382, 0.854, 0.382], [0.500, 0.000, 0.500], [0.618, 0.146, 0.618], [0.000, 0.500, 0.000], [0.796, 0.204, 0.204], [0.796, 0.204, 0.796], [0.500, 0.500, 0.000], [0.831, 0.831, 0.831], [0.204, 0.796, 0.796], [0.854, 0.382, 0.382], [0.000, 0.500, 0.500], [0.618, 0.618, 0.146], [0.169, 0.169, 0.169], [0.169, 0.494, 0.169], [0.169, 0.169, 0.494], [0.000, 0.000, 0.500], [0.146, 0.618, 0.618], [0.831, 0.506, 0.831], [0.796, 0.796, 0.204], [0.506, 0.831, 0.831], [0.204, 0.796, 0.204], [0.382, 0.382, 0.382], [0.204, 0.204, 0.796], [0.500, 0.500, 0.500], [0.500, 0.000, 0.000], [0.382, 0.382, 0.854], [0.618, 0.618, 0.618], [0.831, 0.831, 0.506], [0.494, 0.169, 0.169]],
  "raw_formation_energy_ev_per_atom": -0.5911,
  "sg": "Fm-3m (225)",
  "dos_ef_per_ev_cell": 17.36
}

---

No. 19
{
  "formula": "RbHf2Fe",
  "functional": "GGA-PBEsol",
  "state": "relaxed",
  "cell": [[-0.183, 4.768, 0.269], [-4.050, 2.165, 1.323], [-0.281, 2.144, 4.262]],
  "species": ["Hf", "Fe", "Rb", "Hf"],
  "fractional_positions": [[0.250, 0.250, 0.250], [0.000, 0.000, 0.000], [0.500, 0.500, 0.500], [0.750, 0.750, 0.750]],
  "sg": "Fm-3m (225)",
  "dos_ef_per_ev_cell": 4.94,
  "formation_energy_ev_per_atom": 1.216
}

---

No. 20
{
  "formula": "PdAu3I",
  "functional": "GGA-PBEsol",
  "state": "relaxed",
  "cell": [[4.957, 0.000, 0.000], [0.000, 4.957, 0.000], [0.000, 0.000, 4.957]],
  "species": ["Pd", "I", "Au", "Au", "Au"],
  "fractional_positions": [[0.000, 0.000, 0.000], [0.500, 0.500, 0.500], [0.000, 0.000, 0.500], [0.500, 0.000, 0.000], [0.000, 0.500, 0.000]],
  "raw_formation_energy_ev_per_atom": 0.8251,
  "sg": "Pm-3m (221)",
  "dos_ef_per_ev_cell": 3.10
}

---

No. 21
{
  "formula": "AlRe2Cl",
  "functional": "GGA-PBEsol",
  "state": "relaxed",
  "cell": [[-0.687, -2.738, -0.018], [0.943, -0.267, 4.538], [-4.126, 2.487, 0.594]],
  "species": ["Al", "Re", "Re", "Cl"],
  "fractional_positions": [[0.514, 0.551, 0.028], [0.247, 0.236, 0.494], [0.977, 0.052, 0.954], [0.762, 0.660, 0.524]],
  "raw_formation_energy_ev_per_atom": 0.5880,
  "sg": "Cm (8)",
  "dos_ef_per_ev_cell": 2.45
}

---

No. 22
{
  "formula": "ZrTcS2",
  "functional": "GGA-PBEsol",
  "state": "relaxed",
  "cell": [[3.068, 0.000, 0.000], [1.534, 2.657, 0.000], [1.534, 0.886, 8.307]],
  "species": ["Tc", "Zr", "S", "S"],
  "fractional_positions": [[0.500, 0.500, 0.500], [0.000, 0.000, 0.000], [0.898, 0.898, 0.306], [0.102, 0.102, 0.694]],
  "raw_formation_energy_ev_per_atom": -0.4303,
  "sg": "R-3m (166)",
  "dos_ef_per_ev_cell": 3.10
}

---

No. 23
{
  "formula": "Nb2Al2Si",
  "functional": "GGA-PBEsol",
  "state": "relaxed",
  "cell": [[-3.253, -0.396, 2.337], [-3.103, -3.150, -4.854], [2.306, -5.725, 2.241]],
  "species": ["Al", "Nb", "Nb", "Si", "Nb", "Al", "Nb", "Al", "Al", "Si"],
  "fractional_positions": [[0.500, 0.646, 0.854], [0.000, 0.659, 0.159], [0.000, 0.841, 0.659], [0.000, 0.500, 0.500], [0.000, 0.341, 0.841], [0.500, 0.146, 0.646], [0.000, 0.159, 0.341], [0.500, 0.354, 0.146], [0.500, 0.854, 0.354], [0.000, 0.000, 0.000]],
  "raw_formation_energy_ev_per_atom": -0.2065,
  "sg": "P4/mbm (127)",
  "dos_ef_per_ev_cell": 5.29
}

---

No. 24
{
  "formula": "Ba2CdAu",
  "functional": "GGA-PBEsol",
  "state": "relaxed",
  "cell": [[-3.958, -2.228, 1.006], [3.145, 0.784, 3.355], [-4.410, 7.463, -0.826]],
  "species": ["Ba", "Ba", "Cd", "Au"],
  "fractional_positions": [[0.240, 0.480, 0.221], [0.760, 0.520, 0.779], [0.000, 0.000, 0.500], [0.500, 0.000, 0.000]],
  "sg": "C2/m (12)",
  "dos_ef_per_ev_cell": 2.93,
  "formation_energy_ev_per_atom": -0.340
}

---

No. 25
{
  "formula": "YOsCl2",
  "functional": "GGA-PBEsol",
  "state": "relaxed",
  "cell": [[-0.922, -2.753, 1.144], [2.895, -1.113, -0.343], [1.890, 2.551, 7.665]],
  "species": ["Os", "Y", "Cl", "Cl"],
  "fractional_positions": [[0.000, 0.000, 0.498], [0.500, 0.500, 0.738], [0.500, 0.500, 0.316], [0.000, 0.000, 0.948]],
  "raw_formation_energy_ev_per_atom": -0.3647,
  "sg": "P4mm (99)",
  "dos_ef_per_ev_cell": 4.21
}

---

No. 26
{
  "formula": "CeZnGa3",
  "functional": "GGA-PBEsol",
  "state": "relaxed",
  "cell": [[-2.720, 1.976, -2.507], [-3.109, -2.388, 1.490], [2.007, 3.743, 4.281]],
  "species": ["Ce", "Ga", "Zn", "Ga", "Ga"],
  "fractional_positions": [[0.500, 0.500, 0.000], [0.115, 0.115, 0.230], [0.250, 0.750, 0.500], [0.885, 0.885, 0.770], [0.750, 0.250, 0.500]],
  "sg": "I-4m2 (119)",
  "dos_ef_per_ev_cell": 7.05,
  "formation_energy_ev_per_atom": -0.441
}

---

No. 27
{
  "formula": "ScZnCl",
  "functional": "GGA-PBEsol",
  "state": "relaxed",
  "cell": [[3.164, 0.000, 0.000], [0.000, 3.164, 0.000], [-1.582, -1.582, 6.175]],
  "species": ["Zn", "Sc", "Cl"],
  "fractional_positions": [[0.699, 0.699, 0.398], [0.342, 0.342, 0.684], [0.959, 0.959, 0.918]],
  "raw_formation_energy_ev_per_atom": -0.6925,
  "sg": "I4mm (107)",
  "dos_ef_per_ev_cell": 2.98
}

---

No. 28
{
  "formula": "Cs2RhF6",
  "functional": "GGA-PBEsol",
  "state": "relaxed",
  "cell": [[-4.907, 0.411, 0.777], [0.822, -1.371, 5.916], [0.197, 5.840, -1.848]],
  "species": ["F", "F", "Cs", "F", "Cs", "F", "F", "Rh", "F"],
  "fractional_positions": [[0.786, 0.151, 0.301], [0.214, 0.849, 0.151], [0.708, 0.667, 0.333], [0.786, 0.699, 0.849], [0.292, 0.333, 0.667], [0.786, 0.151, 0.849], [0.214, 0.301, 0.151], [0.000, 0.000, 0.000], [0.214, 0.849, 0.699]],
  "raw_formation_energy_ev_per_atom": -2.2559,
  "sg": "P-3m1 (164)",
  "dos_ef_per_ev_cell": 10.08
}